Entry 1:
DFT (GGA-PBE) results for crystalline BeAu2Br at its relaxed geometry.

a = 4.7094 Å, b = 4.7094 Å, c = 4.7094 Å
α = 60.00°, β = 60.00°, γ = 60.00°
Fractional positions:
Be (0.0000, 0.0000, 0.0000)
Au (0.2500, 0.2500, 0.2500)
Au (0.7500, 0.7500, 0.7500)
Br (0.5000, 0.5000, 0.5000)

Calculated values
The value obtained for the energy above the most stable polymorph in this dataset is 856 meV/atom. The density of states at the Fermi level is 1.11 states/eV per atom. Its symmetry is No. 225. The calculated volume is 18.5 A^3/atom. Its calculated density is 10.9 g/cm3. Its uncorrected formation energy is 3.0 eV/f.u. The value obtained for the total energy is -8.991 eV for the cell shown.

=====

Entry 2:
DFT (GGA-PBE) results for crystalline BaMgSi2Pd at its relaxed geometry.

a = 4.8871 Å, b = 5.9817 Å, c = 4.8871 Å
α = 90.00°, β = 90.00°, γ = 90.00°
Fractional positions:
Mg (0.0000, 0.0000, 0.0000)
Si (0.0000, 0.0000, 0.5000)
Si (0.5000, 0.0000, 0.0000)
Ba (0.0000, 0.5000, 0.0000)
Pd (0.5000, 0.5000, 0.5000)

Calculated values
The density of states at the Fermi level is 0.76 states/eV per atom. Its symmetry is No. 123. The calculated volume is 28.6 A^3/atom. Its calculated density is 3.8 g/cm3. Its uncorrected formation energy is 3.8 eV/f.u. The value obtained for the total energy is -15.762 eV for the cell shown.

=====

Entry 3:
DFT (GGA-PBE) results for crystalline Te2POs at its relaxed geometry.

a = 3.2884 Å, b = 4.6897 Å, c = 5.0977 Å
α = 90.00°, β = 90.00°, γ = 90.00°
Fractional positions:
Te (0.0000, 0.0000, 0.0000)
Te (0.5000, 0.0000, 0.5000)
P (0.0000, 0.5000, 0.5000)
Os (0.5000, 0.5000, 0.0000)

Calculated values
The value obtained for the energy above the most stable polymorph in this dataset is 946 meV/atom. The density of states at the Fermi level is 0.70 states/eV per atom. Its symmetry is No. 47. The calculated volume is 19.7 A^3/atom. Its calculated density is 10.1 g/cm3. Its uncorrected formation energy is 4.2 eV/f.u. The value obtained for the total energy is -18.752 eV for the cell shown.

=====

Entry 4:
DFT (GGA-PBE) results for crystalline CaEr2WN4 at its relaxed geometry.

a = 3.3090 Å, b = 6.2145 Å, c = 12.1115 Å
α = 90.00°, β = 90.00°, γ = 105.44°
Fractional positions:
Ca (0.0745, 0.1490, 0.7500)
Ca (0.9255, 0.8510, 0.2500)
Er (0.3726, 0.7453, 0.5378)
Er (0.6274, 0.2547, 0.0378)
Er (0.6274, 0.2547, 0.4622)
Er (0.3726, 0.7453, 0.9622)
W (0.8171, 0.6341, 0.7500)
W (0.1829, 0.3659, 0.2500)
N (0.2621, 0.5241, 0.1160)
N (0.7379, 0.4759, 0.6160)
N (0.7379, 0.4759, 0.8840)
N (0.2621, 0.5241, 0.3840)
N (0.0000, 0.0000, 0.5000)
N (0.0000, 0.0000, 0.0000)
N (0.4289, 0.8577, 0.7500)
N (0.5711, 0.1423, 0.2500)

Calculated values
The density of states at the Fermi level is 0.28 states/eV per atom. Its symmetry is No. 63. The calculated volume is 15.0 A^3/atom. Its calculated density is 8.5 g/cm3. Its uncorrected formation energy is -8.8 eV/f.u. The value obtained for the total energy is -132.324 eV for the cell shown.

=====

Entry 5:
DFT (GGA-PBE) results for crystalline La2Nd6SmY3 at its relaxed geometry.

a = 6.3541 Å, b = 6.3541 Å, c = 12.0999 Å
α = 95.03°, β = 95.03°, γ = 120.03°
Fractional positions:
La (0.3333, 0.6667, 0.0000)
La (0.6667, 0.3333, 0.0000)
Nd (0.9152, 0.5825, 0.7458)
Nd (0.7521, 0.7521, 0.2540)
Nd (0.0848, 0.4175, 0.2542)
Nd (0.5825, 0.9152, 0.7458)
Nd (0.2479, 0.2479, 0.7460)
Nd (0.4175, 0.0848, 0.2542)
Sm (0.0000, 0.0000, 0.0000)
Y (0.1664, 0.8336, 0.5000)
Y (0.8336, 0.1664, 0.5000)
Y (0.5000, 0.5000, 0.5000)

Calculated values
The density of states at the Fermi level is 1.52 states/eV per atom. Its symmetry is No. 12. The calculated volume is 34.7 A^3/atom. As for the calculated formation energy: 15 meV per atom. Its calculated density is 6.2 g/cm3. The value obtained for the total energy is -62.389 eV for the cell shown.

=====

Entry 6:
DFT (GGA-PBE) results for crystalline NaMo2Os2 at its relaxed geometry.

a = 4.2511 Å, b = 4.2511 Å, c = 6.1851 Å
α = 69.90°, β = 69.90°, γ = 90.00°
Fractional positions:
Na (0.0000, 0.0000, 0.0000)
Mo (0.3743, 0.3743, 0.2514)
Mo (0.6257, 0.6257, 0.7486)
Os (0.7500, 0.2500, 0.5000)
Os (0.2500, 0.7500, 0.5000)

Calculated values
The value obtained for the energy above the most stable polymorph in this dataset is 365 meV/atom. The density of states at the Fermi level is 1.33 states/eV per atom. Its symmetry is No. 139. The calculated volume is 19.5 A^3/atom. As for the calculated formation energy: 699 meV per atom. Its calculated density is 10.1 g/cm3. The value obtained for the total energy is -41.947 eV for the cell shown.

=====

Entry 7:
DFT (GGA-PBE) results for crystalline Tm2Ga6Ir at its relaxed geometry.

a = 5.8797 Å, b = 5.6981 Å, c = 5.6981 Å
α = 59.93°, β = 90.11°, γ = 90.11°
Fractional positions:
Tm (0.8717, 0.6665, 0.6665)
Tm (0.1283, 0.3335, 0.3335)
Ga (0.3219, 0.3504, 0.8252)
Ga (0.3212, 0.8251, 0.8251)
Ga (0.3219, 0.8252, 0.3504)
Ga (0.6781, 0.6496, 0.1748)
Ga (0.6788, 0.1749, 0.1749)
Ga (0.6781, 0.1748, 0.6496)
Ir (0.0000, 0.0000, 0.0000)

Calculated values
The density of states at the Fermi level is 0.65 states/eV per atom. Its symmetry is No. 12. The calculated volume is 18.4 A^3/atom. As for the calculated formation energy: -530 meV per atom. Its calculated density is 9.5 g/cm3. The value obtained for the total energy is -40.732 eV for the cell shown.

=====

Entry 8:
DFT (GGA-PBE) results for crystalline Pm8BiPb2 at its relaxed geometry.

a = 5.0931 Å, b = 7.3549 Å, c = 10.2914 Å
α = 98.65°, β = 104.33°, γ = 90.00°
Fractional positions:
Pm (0.4052, 0.5099, 0.8104)
Pm (0.6616, 0.0260, 0.3232)
Pm (0.7870, 0.6485, 0.5741)
Pm (0.9818, 0.2480, 0.9636)
Pm (0.2130, 0.3515, 0.4259)
Pm (0.3384, 0.9740, 0.6768)
Pm (0.5948, 0.4901, 0.1896)
Pm (0.0182, 0.7520, 0.0364)
Bi (0.5000, 0.0000, 0.0000)
Pb (0.8185, 0.2249, 0.6371)
Pb (0.1815, 0.7751, 0.3629)

Calculated values
The density of states at the Fermi level is 1.18 states/eV per atom. Its symmetry is No. 12. The calculated volume is 33.5 A^3/atom. As for the calculated formation energy: -313 meV per atom. Its calculated density is 8.0 g/cm3. The value obtained for the total energy is -52.743 eV for the cell shown.